(one)
## TbNdCdAu (PBE)

Data for TbNdCdAu after structural relaxation.

Cell lengths 3.7221, 3.7221, 7.5154 Å; angles 90.00, 90.00, 90.00 degrees
Last column: nearest neighbours and their distance in Å.
Fractional coordinates of all 4 atoms:
1 Tb 0.5000 0.5000 0.1240  4 Au 3.08, 4 Cd 3.25
2 Cd 0.0000 0.0000 0.8699  4 Tb 3.25, 4 Nd 3.34, 1 Au 3.51
3 Au 0.0000 0.0000 0.3372  4 Tb 3.08, 4 Nd 3.28
4 Nd 0.5000 0.5000 0.5969  4 Au 3.28, 4 Cd 3.34, 1 Tb 3.55


(two)
## TbNdCdAu (PBE)

Data for TbNdCdAu after structural relaxation.

Cell lengths 5.2793, 5.2793, 5.2793 Å; angles 60.00, 60.00, 60.00 degrees
Last column: nearest neighbours and their distance in Å.
Fractional coordinates of all 4 atoms:
1 Cd 0.7500 0.7500 0.7500  4 Tb 3.23, 4 Nd 3.23
2 Nd 0.0000 0.0000 0.0000  4 Cd 3.23, 4 Au 3.23
3 Tb 0.5000 0.5000 0.5000  4 Cd 3.23, 4 Au 3.23
4 Au 0.2500 0.2500 0.2500  4 Tb 3.23, 4 Nd 3.23


Stability summary: most stable (one), least stable (two).